A plane-wave DFT calculation with PBE-GGA was carried out for a geometry-optimized NaZrTlI6 structure.

Output
raw formation energy: -8.3 eV/f.u.
calculated volume: 804 Å³/cell
DOS at the Fermi energy: 0.0 states/eV/f.u.
calculated total energy: -0.2435 Ry/atom

abc: 7.9892 7.9892 14.5535
angles: 90.00 90.00 120.00
Positions (direct):
I 0.6493 0.6182 0.1343
I 0.6182 0.6493 0.6343
I 0.9689 0.6182 0.3657
I 0.3507 0.3818 0.8657
I 0.9689 0.3507 0.1343
I 0.6182 0.9689 0.8657
I 0.3507 0.9689 0.6343
I 0.3818 0.3507 0.3657
I 0.0311 0.3818 0.6343
I 0.0311 0.6493 0.8657
I 0.3818 0.0311 0.1343
I 0.6493 0.0311 0.3657
Zr 0.3333 0.6667 0.7500
Zr 0.6667 0.3333 0.2500
Na 0.3333 0.6667 0.2500
Na 0.6667 0.3333 0.7500
Tl 0.0000 0.0000 0.5000
Tl 0.0000 0.0000 0.0000

---

A plane-wave DFT calculation with PBE-GGA was carried out for a geometry-optimized Na3TmI6 structure.

Output
raw formation energy: -12.8 eV/f.u.
calculated volume: 766 Å³/cell
DOS at the Fermi energy: 0.0 states/eV/f.u.
calculated total energy: -0.2243 Ry/atom

abc: 7.7965 8.3515 11.7578
angles: 90.00 90.03 90.00
Positions (direct):
I 0.3143 0.8216 0.0717
I 0.6857 0.1784 0.9283
I 0.8528 0.9471 0.2353
I 0.3343 0.8077 0.4239
I 0.8343 0.6923 0.9239
I 0.6657 0.1923 0.5761
I 0.6472 0.4471 0.2647
I 0.1657 0.3077 0.0761
I 0.8143 0.6784 0.5717
I 0.1472 0.0529 0.7647
I 0.1857 0.3216 0.4283
I 0.3528 0.5529 0.7353
Na 0.5417 0.9000 0.7561
Na 0.5000 0.5000 0.0000
Na 0.0000 0.0000 0.5000
Na 0.0417 0.6000 0.2561
Na 0.9583 0.4000 0.7439
Na 0.4583 0.1000 0.2439
Tm 0.0000 0.0000 0.0000
Tm 0.5000 0.5000 0.5000

---

A plane-wave DFT calculation with PBE-GGA was carried out for a geometry-optimized Na2TmI5 structure.

Output
E above lowest polymorph: 21.0 meV/atom
raw formation energy: -10.1 eV/f.u.
calculated volume: 730 Å³/cell
DOS at the Fermi energy: 0.0 states/eV/f.u.
calculated total energy: -0.2296 Ry/atom

abc: 6.1088 8.4077 15.2655
angles: 90.00 90.00 111.30
Positions (direct):
I 0.0484 0.0968 0.1197
I 0.3139 0.6278 0.4002
I 0.7133 0.4267 0.2500
I 0.0484 0.0968 0.3803
I 0.6861 0.3722 0.9002
I 0.9516 0.9032 0.6197
I 0.9516 0.9032 0.8803
I 0.3139 0.6278 0.0998
I 0.6861 0.3722 0.5998
I 0.2867 0.5733 0.7500
Na 0.1549 0.3099 0.5553
Na 0.8451 0.6901 0.4447
Na 0.8451 0.6901 0.0553
Na 0.1549 0.3099 0.9447
Tm 0.1852 0.3704 0.2500
Tm 0.8148 0.6296 0.7500

---

A plane-wave DFT calculation with PBE-GGA was carried out for a geometry-optimized NaTmI2 structure.

Output
raw formation energy: -3.1 eV/f.u.
calculated volume: 155 Å³/cell
DOS at the Fermi energy: 2.5 states/eV/f.u.
calculated total energy: -0.2212 Ry/atom

abc: 3.9893 3.9893 11.4561
angles: 79.97 79.97 60.00
Positions (direct):
I 0.8928 0.8928 0.3215
I 0.1072 0.1072 0.6785
Na 0.0000 0.0000 0.0000
Tm 0.5000 0.5000 0.5000

---

A plane-wave DFT calculation with PBE-GGA was carried out for a geometry-optimized Na2TmI5 structure.

Output
E above lowest polymorph: 0.0 meV/atom
raw formation energy: -10.3 eV/f.u.
calculated volume: 657 Å³/cell
DOS at the Fermi energy: 0.0 states/eV/f.u.
calculated total energy: -0.2311 Ry/atom

abc: 8.0343 11.8622 8.7550
angles: 64.14 62.69 70.21
Positions (direct):
I 0.1805 0.2347 0.0342
I 0.3514 0.8323 0.0950
I 0.9995 0.6527 0.0713
I 0.2765 0.1527 0.5713
I 0.6254 0.4146 0.0577
I 0.7213 0.3323 0.5950
I 0.5505 0.7347 0.5342
I 0.7866 0.0336 0.0646
I 0.9024 0.9146 0.5577
I 0.1152 0.5336 0.5646
Na 0.5969 0.5778 0.2785
Na 0.3552 0.4891 0.8503
Na 0.5468 0.0778 0.7785
Na 0.3054 0.9891 0.3503
Tm 0.9509 0.7836 0.3145
Tm 0.9509 0.2836 0.8145

---

A plane-wave DFT calculation with PBE-GGA was carried out for a geometry-optimized NaTmI4 structure.

Output
raw formation energy: -8.0 eV/f.u.
calculated volume: 268 Å³/cell
DOS at the Fermi energy: 0.0 states/eV/f.u.
calculated total energy: -0.2446 Ry/atom

abc: 4.4010 7.6253 7.9885
angles: 89.98 90.00 90.00
Positions (direct):
I 0.5000 0.2316 0.8530
I 0.0000 0.7772 0.6954
I 0.0000 0.2228 0.3046
I 0.5000 0.7684 0.1470
Na 0.5000 0.0000 0.5000
Tm 0.0000 0.0000 0.0000

---

A plane-wave DFT calculation with PBE-GGA was carried out for a geometry-optimized NaUI4 structure.

Output
E above lowest polymorph: 0.0 meV/atom
raw formation energy: -5.7 eV/f.u.
calculated volume: 564 Å³/cell
DOS at the Fermi energy: 2.6 states/eV/f.u.
calculated total energy: -0.3002 Ry/atom

abc: 4.5812 10.5785 12.1436
angles: 84.95 79.13 77.49
Positions (direct):
I 0.3253 0.7873 0.0621
I 0.4403 0.9396 0.6798
I 0.8254 0.2873 0.5621
I 0.0597 0.5604 0.8202
I 0.1746 0.7127 0.4379
I 0.9403 0.4396 0.1798
I 0.5597 0.0604 0.3202
I 0.6747 0.2127 0.9379
Na 0.2499 0.2500 0.7500
Na 0.7501 0.7500 0.2500
U 0.0000 0.0000 0.5000
U 0.5000 0.5000 0.0000

---

A plane-wave DFT calculation with PBE-GGA was carried out for a geometry-optimized NaU2I8 structure.

Output
E above lowest polymorph: 0.0 meV/atom
raw formation energy: -8.3 eV/f.u.
calculated volume: 560 Å³/cell
DOS at the Fermi energy: 19.5 states/eV/f.u.
calculated total energy: -0.2981 Ry/atom

abc: 6.2316 10.1895 10.1908
angles: 120.00 90.00 90.00
Positions (direct):
I 0.2547 0.6666 0.3333
I 0.7476 0.8341 0.6663
I 0.7475 0.3336 0.1677
I 0.2525 0.6664 0.8323
I 0.7476 0.8323 0.1659
I 0.2524 0.1677 0.8341
I 0.7453 0.3334 0.6667
I 0.2524 0.1659 0.3337
U 0.2360 0.3334 0.6667
U 0.7640 0.6666 0.3333
Na 0.0000 0.0000 0.0000

---

A plane-wave DFT calculation with PBE-GGA was carried out for a geometry-optimized NaU2I8 structure.

Output
E above lowest polymorph: 15.3 meV/atom
raw formation energy: -8.1 eV/f.u.
calculated volume: 649 Å³/cell
DOS at the Fermi energy: 18.6 states/eV/f.u.
calculated total energy: -0.2969 Ry/atom

abc: 7.7071 9.5888 9.5888
angles: 66.57 87.07 87.07
Positions (direct):
I 0.2464 0.8212 0.8212
I 0.7536 0.1788 0.1788
I 0.2385 0.3029 0.8743
I 0.2464 0.3566 0.3566
I 0.2385 0.8743 0.3029
I 0.7536 0.6434 0.6434
I 0.7615 0.6971 0.1257
I 0.7615 0.1257 0.6971
Na 0.0000 0.0000 0.0000
U 0.6285 0.8174 0.8174
U 0.3715 0.1826 0.1826

---

A plane-wave DFT calculation with PBE-GGA was carried out for a geometry-optimized NaUI4 structure.

Output
E above lowest polymorph: 144.2 meV/atom
raw formation energy: -4.8 eV/f.u.
calculated volume: 332 Å³/cell
calculated total energy: -0.2896 Ry/atom

abc: 8.3636 8.3636 7.5823
angles: 123.47 123.47 90.00
Positions (direct):
I 0.5625 0.5670 0.6886
I 0.1261 0.1215 0.6886
I 0.4330 0.8739 0.3114
I 0.8785 0.4375 0.3114
U 0.5000 0.5000 0.0000
Na 0.7500 0.2500 0.5000